Compound: CaCe2ThTe4
Source: Alexandria
Functional: GGA-PBE
Structure: optimized geometry

Calculated values
For the formation energy (no corrections), the calculation gives -1314 meV/atom.

Unit cell a=7.7739 b=4.4398 c=7.8159 alpha=90.00 beta=108.99 gamma=90.00
Atoms (fractional coordinates):
Ca1 0.0000 0.0000 0.0000
Ce1 0.5000 0.0000 0.5000
Ce2 0.5000 0.5000 0.0000
Th1 0.0000 0.5000 0.5000
Te1 0.2448 0.5000 0.2449
Te2 0.2477 0.0000 0.7536
Te3 0.7523 0.0000 0.2464
Te4 0.7552 0.5000 0.7551

***

Compound: CrCu2Ag
Source: Alexandria
Functional: GGA-PBE
Structure: optimized geometry

Calculated values
The relative energy among the computed polymorphs comes out at 0.23 eV/f.u.

Unit cell a=2.7962 b=4.1680 c=5.2202 alpha=90.00 beta=105.32 gamma=90.00
Atoms (fractional coordinates):
Cr1 0.0000 0.0000 0.0000
Cu1 0.6006 0.5000 0.2007
Cu2 0.7256 0.0000 0.4627
Ag1 0.3372 0.5000 0.6820

***

Compound: Cs6Pr3I14
Source: Alexandria
Functional: GGA-PBE
Structure: optimized geometry

Calculated values
For the formation energy (no corrections), the calculation gives -1425 meV/atom.

Unit cell a=14.0947 b=14.0947 c=7.6462 alpha=90.00 beta=90.00 gamma=120.00
Atoms (fractional coordinates):
Cs1 0.0252 0.4609 0.0000
Cs2 0.3064 0.2070 0.4842
Cs3 0.4357 0.9748 0.0000
Cs4 0.5391 0.5643 0.0000
Cs5 0.7930 0.0995 0.4842
Cs6 0.9005 0.6936 0.4842
Pr1 0.0000 0.0000 0.0680
Pr2 0.3333 0.6667 0.5810
Pr3 0.6667 0.3333 0.7327
I1 0.0000 0.0000 0.6686
I2 0.0771 0.2299 0.2070
I3 0.1528 0.9229 0.2070
I4 0.1830 0.7469 0.7158
I5 0.2531 0.4361 0.7158
I6 0.3333 0.6667 0.1814
I7 0.4507 0.2567 0.9605
I8 0.5259 0.1170 0.5067
I9 0.5639 0.8170 0.7158
I10 0.5911 0.4741 0.5067
I11 0.7433 0.1940 0.9605
I12 0.7701 0.8472 0.2070
I13 0.8060 0.5493 0.9605
I14 0.8830 0.4089 0.5067

***

Compound: BaSr2ZnB
Source: Alexandria
Functional: GGA-PBE
Structure: optimized geometry

Unit cell a=5.9837 b=5.9837 c=6.1972 alpha=90.00 beta=90.00 gamma=90.00
Atoms (fractional coordinates):
Ba1 0.0000 0.0000 0.0000
Sr1 0.0000 0.5000 0.5000
Sr2 0.5000 0.0000 0.5000
Zn1 0.0000 0.0000 0.5000
B1 0.5000 0.5000 0.0000

***

Compound: AcHBr3
Source: Alexandria
Functional: GGA-PBE
Structure: optimized geometry

Unit cell a=8.0758 b=4.4754 c=8.5363 alpha=90.00 beta=101.02 gamma=90.00
Atoms (fractional coordinates):
Ac1 0.1362 0.2500 0.2702
Ac2 0.8638 0.7500 0.7298
H1 0.4556 0.2500 0.3891
H2 0.5444 0.7500 0.6109
Br1 0.1200 0.2500 0.8845
Br2 0.1858 0.7500 0.5447
Br3 0.3814 0.7500 0.2008
Br4 0.6186 0.2500 0.7992
Br5 0.8142 0.2500 0.4553
Br6 0.8800 0.7500 0.1155

***

Compound: SiTc2W
Source: Alexandria
Functional: GGA-PBE
Structure: optimized geometry

Calculated values
For the formation energy (no corrections), the calculation gives 51 meV/atom.

Unit cell a=8.7900 b=8.7900 c=8.7900 alpha=18.32 beta=18.32 gamma=18.32
Atoms (fractional coordinates):
Si1 0.0000 0.0000 0.0000
Tc1 0.2545 0.2545 0.2545
Tc2 0.5049 0.5049 0.5049
W1 0.7500 0.7500 0.7500

***

Compound: SrZrNiC2
Source: Alexandria
Functional: GGA-PBE
Structure: optimized geometry

Unit cell a=4.4182 b=4.4182 c=4.8889 alpha=90.00 beta=90.00 gamma=90.00
Atoms (fractional coordinates):
Sr1 0.0000 0.0000 0.0000
Zr1 0.5000 0.5000 0.5000
Ni1 0.5000 0.5000 0.0000
C1 0.0000 0.5000 0.5000
C2 0.5000 0.0000 0.5000

***

Compound: MgBC2
Source: Alexandria
Functional: GGA-PBE
Structure: optimized geometry

Calculated values
The relative energy among the computed polymorphs comes out at 6.28 eV/f.u.

Unit cell a=3.6636 b=3.6636 c=3.6636 alpha=60.00 beta=60.00 gamma=60.00
Atoms (fractional coordinates):
Mg1 0.0000 0.0000 0.0000
B1 0.5000 0.5000 0.5000
C1 0.2500 0.2500 0.2500
C2 0.7500 0.7500 0.7500

***

Compound: Ac2Pm5Nd
Source: Alexandria
Functional: GGA-PBE
Structure: optimized geometry

Calculated values
The relative energy among the computed polymorphs comes out at 0.45 eV/f.u.

Unit cell a=9.2391 b=9.2391 c=9.2391 alpha=157.01 beta=101.92 gamma=82.70
Atoms (fractional coordinates):
Ac1 0.2427 0.2427 0.0000
Ac2 0.7573 0.7573 0.0000
Pm1 0.1402 0.8741 0.2661
Pm2 0.3920 0.1259 0.2661
Pm3 0.5000 0.5000 0.0000
Pm4 0.6080 0.8741 0.7339
Pm5 0.8598 0.1259 0.7339
Nd1 0.0000 0.5000 0.5000

***

Compound: Pr3Np5N12
Source: Alexandria
Functional: GGA-PBE
Structure: optimized geometry

Calculated values
For the formation energy (no corrections), the calculation gives -981 meV/atom.

Unit cell a=11.8806 b=11.8806 c=11.8806 alpha=109.47 beta=109.47 gamma=109.47
Atoms (fractional coordinates):
Pr1 0.1250 0.2500 0.3750
Pr2 0.1250 0.3750 0.7500
Pr3 0.2500 0.3750 0.1250
Pr4 0.2500 0.8750 0.6250
Pr5 0.3750 0.1250 0.2500
Pr6 0.3750 0.7500 0.1250
Pr7 0.6250 0.2500 0.8750
Pr8 0.6250 0.8750 0.7500
Pr9 0.7500 0.1250 0.3750
Pr10 0.7500 0.6250 0.8750
Pr11 0.8750 0.6250 0.2500
Pr12 0.8750 0.7500 0.6250
Np1 0.0000 0.0000 0.0000
Np2 0.0000 0.0000 0.5000
Np3 0.0000 0.5000 0.0000
Np4 0.0000 0.5000 0.5000
Np5 0.1250 0.7500 0.8750
Np6 0.1250 0.8750 0.2500
Np7 0.2500 0.1250 0.8750
Np8 0.2500 0.6250 0.3750
Np9 0.3750 0.2500 0.6250
Np10 0.3750 0.6250 0.7500
Np11 0.5000 0.0000 0.0000
Np12 0.5000 0.0000 0.5000
Np13 0.5000 0.5000 0.0000
Np14 0.5000 0.5000 0.5000
Np15 0.6250 0.3750 0.2500
Np16 0.6250 0.7500 0.3750
Np17 0.7500 0.3750 0.6250
Np18 0.7500 0.8750 0.1250
Np19 0.8750 0.1250 0.7500
Np20 0.8750 0.2500 0.1250
N1 0.0266 0.1972 0.1236
N2 0.0266 0.3294 0.9030
N3 0.0736 0.6972 0.6706
N4 0.0736 0.8764 0.4030
N5 0.0970 0.6236 0.4264
N6 0.0970 0.9734 0.6706
N7 0.1236 0.0266 0.1972
N8 0.1236 0.5970 0.9264
N9 0.1706 0.1972 0.5736
N10 0.1706 0.4734 0.5970
N11 0.1972 0.1236 0.0266
N12 0.1972 0.5736 0.1706
N13 0.3028 0.3294 0.9264
N14 0.3028 0.4734 0.3764
N15 0.3294 0.9030 0.0266
N16 0.3294 0.9264 0.3028
N17 0.3764 0.3028 0.4734
N18 0.3764 0.5736 0.9030
N19 0.4030 0.0736 0.8764
N20 0.4030 0.8294 0.5266
N21 0.4264 0.0970 0.6236
N22 0.4264 0.8294 0.8028
N23 0.4734 0.3764 0.3028
N24 0.4734 0.5970 0.1706
N25 0.5266 0.4030 0.8294
N26 0.5266 0.6236 0.6972
N27 0.5736 0.1706 0.1972
N28 0.5736 0.9030 0.3764
N29 0.5970 0.1706 0.4734
N30 0.5970 0.9264 0.1236
N31 0.6236 0.4264 0.0970
N32 0.6236 0.6972 0.5266
N33 0.6706 0.0736 0.6972
N34 0.6706 0.0970 0.9734
N35 0.6972 0.5266 0.6236
N36 0.6972 0.6706 0.0736
N37 0.8028 0.4264 0.8294
N38 0.8028 0.8764 0.9734
N39 0.8294 0.5266 0.4030
N40 0.8294 0.8028 0.4264
N41 0.8764 0.4030 0.0736
N42 0.8764 0.9734 0.8028
N43 0.9030 0.0266 0.3294
N44 0.9030 0.3764 0.5736
N45 0.9264 0.1236 0.5970
N46 0.9264 0.3028 0.3294
N47 0.9734 0.6706 0.0970
N48 0.9734 0.8028 0.8764

***

Compound: Tb3MgPd3
Source: Alexandria
Functional: GGA-PBE
Structure: optimized geometry

Unit cell a=6.8377 b=6.8377 c=7.0363 alpha=91.71 beta=91.71 gamma=99.03
Atoms (fractional coordinates):
Tb1 0.1715 0.8285 0.0000
Tb2 0.2546 0.7454 0.5000
Tb3 0.3503 0.3503 0.1374
Tb4 0.6497 0.6497 0.8626
Tb5 0.7454 0.2546 0.5000
Tb6 0.8285 0.1715 0.0000
Mg1 0.2607 0.2607 0.6333
Mg2 0.7393 0.7393 0.3667
Pd1 0.0265 0.4940 0.7825
Pd2 0.0672 0.0672 0.3163
Pd3 0.4940 0.0265 0.7825
Pd4 0.5060 0.9735 0.2175
Pd5 0.9328 0.9328 0.6837
Pd6 0.9735 0.5060 0.2175

***

Number 1: total energy -44.4 eV for the cell shown. Number 2: total energy -19.3 eV for the cell shown. Number 3: total energy -73.9 eV for the cell shown. Number 4: total energy -8.6 eV for the cell shown. Number 5: total energy -37.0 eV for the cell shown. Number 6: total energy -38.9 eV for the cell shown. Number 7: total energy -29.2 eV for the cell shown. Number 8: total energy -17.8 eV for the cell shown. Number 9: total energy -36.1 eV for the cell shown. Number 10: total energy -794.2 eV for the cell shown. Number 11: total energy -71.2 eV for the cell shown.